# V2FeIrF

V2FeIrF after structural relaxation (GGA+U, the Alexandria database).

Its total DFT energy (no corrections) is -27.91 eV for the cell shown. For the calculated volume, the calculation gives 82.7 Å³/cell. The calculation puts the spin magnetization at 9.8 μB per formula unit.

The space group is P4/mmm (No. 123) and the conventional cell measures 4.101, 4.101 and 4.916 Å, with angles of 90.00, 90.00 and 90.00 degrees. The inequivalent atoms are V at (0.000, 0.500, 0.000), Fe at (0.000, 0.000, 0.500), Ir at (0.500, 0.500, 0.500) and F at (0.500, 0.500, 0.000).